No. 1
First-principles (GGA-PBE) data for a geometry-optimized AlCu2BiPb structure, as listed in the Alexandria database.

The structure in POSCAR format:
```
AlCu2BiPb
1.0
4.886 0.000 0.000
0.000 6.297 0.000
0.000 0.000 4.886
Pb Bi Cu Al
1 1 2 1
Cartesian
0.000 0.000 0.000
0.000 3.149 0.000
0.000 0.000 2.443
2.443 0.000 0.000
2.443 3.149 2.443
```

Values from the calculation:
Space group: P4/mmm (123)
Magnetic moment, μB per formula unit: 0.0
E_form, eV per atom: 0.886

No. 2
First-principles (GGA-PBE) data for a geometry-optimized ScAlCu2Bi structure, as listed in the Alexandria database.

The structure in POSCAR format:
```
ScAlCu2Bi
1.0
-2.521 -3.630 -2.001
4.540 -3.183 0.054
-1.184 -1.614 4.419
Sc Bi Cu Al
1 1 2 1
Cartesian
0.418 -4.213 1.236
0.000 0.000 0.000
-0.592 -0.807 2.210
-1.260 -1.815 -1.001
2.270 -1.591 0.027
```

Values from the calculation:
Space group: P4/mmm (123)
Magnetic moment, μB per formula unit: 0.0
E_form, eV per atom: 0.850

No. 3
First-principles (GGA-PBE) data for a geometry-optimized AlCu2BiSe4 structure, as listed in the Alexandria database.

The structure in POSCAR format:
```
AlCu2BiSe4
1.0
-0.382 -5.521 2.183
5.540 -1.114 -1.861
-0.539 5.145 4.817
Al Cu Bi Se
1 2 1 4
Cartesian
2.039 1.827 4.978
0.829 -1.847 3.581
3.790 0.357 1.559
0.001 0.001 0.003
2.594 -0.134 3.653
4.442 -1.844 0.675
1.859 -3.767 2.439
0.341 2.764 3.512
```

Values from the calculation:
Space group: Fmm2 (42)
Magnetic moment, μB per formula unit: 0.0
E_form (uncorrected), eV per formula unit: -3.169

No. 4
First-principles (GGA-PBE) data for a geometry-optimized Al2CuTcBi structure, as listed in the Alexandria database.

The structure in POSCAR format:
```
Al2CuTcBi
1.0
4.792 0.000 0.000
0.000 5.187 0.000
0.000 0.000 4.792
Al Bi Cu Tc
2 1 1 1
Cartesian
0.000 0.000 2.396
2.396 0.000 0.000
0.000 2.593 0.000
2.396 2.593 2.396
0.000 0.000 0.000
```

Values from the calculation:
Space group: P4/mmm (123)
Magnetic moment, μB per formula unit: 0.0
E_form, eV per atom: 0.539

No. 5
First-principles (GGA-PBE) data for a geometry-optimized AlTl2CuBi structure, as listed in the Alexandria database.

The structure in POSCAR format:
```
AlTl2CuBi
1.0
-0.739 4.912 -1.903
-4.545 -1.047 -0.937
-1.386 1.672 4.855
Tl Bi Cu Al
2 1 1 1
Cartesian
-0.693 0.836 2.428
-0.370 2.456 -0.951
-3.335 2.769 1.008
0.000 0.000 0.000
-2.272 -0.523 -0.468
```

Values from the calculation:
Space group: P4/mmm (123)
Magnetic moment, μB per formula unit: 0.0
E_form, eV per atom: 0.263

No. 6
First-principles (GGA-PBE) data for a geometry-optimized Dy4AlBi structure, as listed in the Alexandria database.

The structure in POSCAR format:
```
Dy4AlBi
1.0
8.610 0.000 4.971
2.870 8.117 4.971
0.000 0.000 9.941
Dy Al Bi
16 4 4
Cartesian
4.256 3.009 7.371
8.707 3.009 9.941
5.740 7.206 9.941
4.256 3.009 12.512
6.379 4.511 14.912
10.840 7.665 14.912
7.494 7.665 12.981
9.725 4.511 16.844
9.725 4.511 12.981
7.494 7.665 16.844
2.133 1.508 9.941
9.347 6.609 9.941
3.936 6.609 6.818
7.543 1.508 13.065
7.543 1.508 6.818
3.936 6.609 13.065
1.773 1.254 3.071
5.063 1.254 4.971
2.870 4.356 4.971
1.773 1.254 6.870
6.850 4.844 11.865
3.519 4.844 9.941
5.740 1.703 9.941
6.850 4.844 8.018
```

Values from the calculation:
Space group: F-43m (216)
Relative energy among the computed polymorphs, meV/atom: 4
Magnetic moment, μB per formula unit: 0.0
E_form, eV per atom: -0.383

No. 7
First-principles (GGA-PBE) data for a geometry-optimized DyAl2Bi structure, as listed in the Alexandria database.

The structure in POSCAR format:
```
DyAl2Bi
1.0
-3.384 -2.772 0.541
2.766 -3.563 -0.953
1.037 -0.392 4.475
Al Bi Dy
2 1 1
Cartesian
0.518 -0.196 2.237
1.383 -1.781 -0.476
0.209 -3.363 2.031
-1.692 -1.386 0.271
```

Values from the calculation:
Space group: P4/mmm (123)
Magnetic moment, μB per formula unit: 0.0
E_form, eV per atom: -0.253

No. 8
First-principles (GGA-PBE) data for a geometry-optimized Dy3AlBi structure, as listed in the Alexandria database.

The structure in POSCAR format:
```
Dy3AlBi
1.0
-3.920 -2.540 4.399
6.746 -6.687 -0.204
6.005 4.667 5.694
Dy Al Bi
12 4 4
Cartesian
0.048 -2.608 3.261
6.918 -4.662 8.079
8.784 -1.952 6.627
1.914 0.102 1.810
0.911 -6.338 3.939
6.406 -6.323 4.600
7.921 1.778 5.949
2.426 1.763 5.288
3.614 -4.104 3.228
7.451 -3.366 2.289
5.218 -0.456 6.660
1.381 -1.194 7.599
5.103 2.852 6.180
3.729 -7.412 3.708
5.682 -6.033 1.565
3.150 1.473 8.323
0.953 -4.061 5.973
6.024 -3.372 5.282
7.879 -0.499 3.915
2.808 -1.189 4.606
```

Values from the calculation:
Space group: C2/c (15)
Magnetic moment, μB per formula unit: 0.0
E_form, eV per atom: -0.394

No. 9
First-principles (GGA-PBE) data for a geometry-optimized Dy4AlBi structure, as listed in the Alexandria database.

The structure in POSCAR format:
```
Dy4AlBi
1.0
6.135 -0.458 0.000
-2.150 8.329 0.000
-1.993 -3.935 6.862
Dy Al Bi
8 2 2
Cartesian
-1.751 -1.563 5.674
1.962 3.078 4.335
-1.317 1.792 5.674
-1.044 5.021 4.335
3.037 -1.086 2.527
3.310 2.143 1.187
0.031 0.857 2.527
3.743 5.498 1.187
1.534 -0.115 0.016
0.459 4.050 6.846
0.459 4.050 1.589
1.534 -0.115 5.272
```

Values from the calculation:
Space group: C2/c (15)
Relative energy among the computed polymorphs, meV/atom: 0
Magnetic moment, μB per formula unit: 0.0
E_form, eV per atom: -0.387

No. 10
First-principles (GGA-PBE) data for a geometry-optimized Dy12Al5Bi3 structure, as listed in the Alexandria database.

The structure in POSCAR format:
```
Dy12Al5Bi3
1.0
-11.915 6.617 6.804
-3.069 -2.014 -14.784
2.710 -13.504 6.508
Bi Al Dy
12 20 48
Cartesian
-9.749 2.520 0.373
-12.389 2.592 -4.321
-5.077 -7.469 -4.469
-2.346 -3.661 2.294
-10.132 2.162 5.733
-5.709 -2.153 -5.061
-6.566 -6.747 3.590
-2.143 -11.062 -7.204
-9.928 -5.239 -3.765
-7.198 -1.432 2.997
0.114 -11.492 2.849
-2.526 -11.420 -1.844
-1.963 -3.304 -3.066
-1.535 -1.007 -7.392
0.000 0.000 0.000
-4.897 0.290 -0.331
-4.603 -3.443 6.656
-7.492 2.302 -3.990
-2.775 -5.747 -7.797
-6.949 -7.105 8.950
-9.838 -1.360 -1.696
-2.820 -7.898 5.585
-9.455 -1.002 -7.056
-6.137 -4.450 -0.736
-5.958 3.308 3.402
1.355 -6.752 3.254
-2.436 -7.541 0.225
-5.326 -1.796 -10.422
-0.180 -7.759 -4.138
-9.500 -3.153 6.326
-7.378 -9.190 -1.141
-10.312 -5.596 1.595
-8.776 3.834 3.267
-4.508 -4.552 -3.097
-11.723 1.699 2.851
-6.826 1.455 1.390
-7.364 -6.573 -2.229
-12.688 2.877 -1.022
-5.254 -4.973 -6.659
-3.429 -3.034 -12.126
-8.045 -7.083 -5.792
-9.854 1.287 -2.713
-9.747 -0.732 1.067
-12.614 3.027 -7.609
-2.239 -7.974 -6.126
-5.481 0.457 -3.100
-2.835 -6.300 -10.577
-3.753 -5.370 4.705
-0.956 -2.661 -0.495
-7.227 0.555 -6.252
-11.953 -0.191 -5.989
-2.579 -1.085 -4.720
-5.225 -10.071 -6.448
-7.734 -3.010 -2.637
-12.018 -2.983 -2.501
-7.907 -7.814 6.378
-4.540 -5.890 1.166
-0.256 -5.917 1.030
-4.367 -1.086 -7.850
-0.322 -8.710 4.517
-7.050 1.171 4.976
-9.695 -7.816 3.248
-5.048 -9.455 4.781
-8.522 -3.530 -6.177
-11.319 -6.239 -0.976
-9.440 -2.600 9.105
-10.036 -0.927 4.655
0.339 -11.928 6.138
-6.794 -9.358 1.629
-4.229 -1.817 4.320
-2.420 -10.187 1.242
-2.528 -8.168 -2.538
-8.846 -5.866 10.654
-7.021 -3.927 5.187
-5.449 -10.355 -2.861
0.413 -11.777 -0.450
-4.910 -2.328 0.758
-0.552 -10.599 -4.322
-7.766 -4.349 1.626
-3.498 -12.735 -4.739
```

Values from the calculation:
Space group: Ia-3d (230)
Magnetic moment, μB per formula unit: 0.0
E_form, eV per atom: 0.123

No. 11
First-principles (GGA-PBE) data for a geometry-optimized DyAlBi2 structure, as listed in the Alexandria database.

The structure in POSCAR format:
```
DyAlBi2
1.0
-1.058 -4.696 -1.137
3.107 -2.623 -2.815
4.620 -4.944 5.361
Al Bi Dy
1 2 1
Cartesian
0.000 0.000 0.000
3.356 -4.140 3.217
3.313 -8.123 -1.808
3.335 -6.131 0.704
```

Values from the calculation:
Space group: R-3m (166)
Relative energy among the computed polymorphs, meV/atom: 400
Magnetic moment, μB per formula unit: 0.0
E_form, eV per atom: 0.146

No. 12
First-principles (GGA-PBE) data for a geometry-optimized Dy2AlBi structure, as listed in the Alexandria database.

The structure in POSCAR format:
```
Dy2AlBi
1.0
4.209 0.000 0.000
2.105 3.645 0.000
2.105 1.215 7.699
Al Bi Dy
1 1 2
Cartesian
0.000 0.000 0.000
4.209 2.430 3.850
2.105 1.215 1.932
6.314 3.645 5.767
```

Values from the calculation:
Space group: R-3m (166)
Magnetic moment, μB per formula unit: 0.0
E_form, eV per atom: -0.370

No. 13
First-principles (GGA-PBE) data for a geometry-optimized Dy8AlBi2 structure, as listed in the Alexandria database.

The structure in POSCAR format:
```
Dy8AlBi2
1.0
5.127 0.000 0.000
0.000 6.801 0.289
-2.564 -2.529 9.298
Dy Al Bi
8 1 2
Cartesian
0.000 1.466 7.787
2.564 -0.605 2.888
2.564 3.041 5.500
2.564 -0.886 9.121
0.000 1.230 4.087
0.000 4.876 6.700
2.564 2.806 1.801
0.000 5.157 0.466
2.564 0.000 0.000
2.564 -0.117 6.051
0.000 4.388 3.537
```

Values from the calculation:
Space group: C2/m (12)
Magnetic moment, μB per formula unit: 0.6
E_form, eV per atom: -0.276

No. 14
First-principles (GGA-PBE) data for a geometry-optimized Dy7Al2Bi2 structure, as listed in the Alexandria database.

The structure in POSCAR format:
```
Dy7Al2Bi2
1.0
7.252 -0.003 -0.308
0.003 6.812 0.003
-0.760 -0.003 7.219
Dy Al Bi
7 2 2
Cartesian
-0.379 1.708 3.610
3.629 5.100 -0.152
6.875 5.097 3.303
2.867 1.706 7.065
0.000 0.000 0.000
3.249 5.149 3.457
3.247 1.657 3.456
5.071 -0.003 1.741
1.425 6.809 5.172
5.191 3.401 5.525
1.305 3.405 1.388
```

Values from the calculation:
Space group: Cmmm (65)
Magnetic moment, μB per formula unit: 0.0
E_form, eV per atom: -0.125

No. 15
First-principles (GGA-PBE) data for a geometry-optimized DyAlBi2 structure, as listed in the Alexandria database.

The structure in POSCAR format:
```
DyAlBi2
1.0
4.367 0.000 0.000
0.000 4.973 0.000
0.000 0.000 4.973
Al Bi Dy
1 2 1
Cartesian
2.184 2.487 2.487
0.000 0.000 2.487
0.000 2.487 0.000
2.184 0.000 0.000
```

Values from the calculation:
Space group: P4/mmm (123)
Relative energy among the computed polymorphs, meV/atom: 0
Magnetic moment, μB per formula unit: 0.0
E_form, eV per atom: -0.253

No. 16
First-principles (GGA-PBE) data for a geometry-optimized Dy5Al2Bi structure, as listed in the Alexandria database.

The structure in POSCAR format:
```
Dy5Al2Bi
1.0
-2.861 -7.463 -2.219
2.990 -3.236 7.028
-5.610 6.602 0.532
Dy Al Bi
10 4 2
Cartesian
-3.356 -1.382 4.170
-0.948 -7.261 5.333
0.000 0.000 0.000
0.065 -5.350 2.405
-4.533 3.164 0.008
-5.395 -1.182 0.234
-2.494 2.964 3.944
-0.085 -2.915 5.107
-2.987 -7.061 1.397
-2.124 -2.715 1.171
0.661 -2.221 2.196
-1.412 -5.257 -0.424
1.542 -5.442 5.233
-0.532 -8.479 2.613
-2.708 -4.723 3.873
-2.773 0.626 1.468
```

Values from the calculation:
Space group: I4/mcm (140)
Magnetic moment, μB per formula unit: 0.0
E_form, eV per atom: -0.442

No. 17
First-principles (GGA-PBE) data for a geometry-optimized Dy8Al3Bi2 structure, as listed in the Alexandria database.

The structure in POSCAR format:
```
Dy8Al3Bi2
1.0
-1.126 0.380 4.829
-0.873 -10.068 0.589
7.858 4.494 1.480
Dy Al Bi
8 3 2
Cartesian
1.179 -5.152 0.681
4.680 -0.043 6.216
0.699 0.247 5.264
5.161 -5.442 1.633
4.898 -2.800 3.924
5.345 2.353 3.623
0.515 -7.547 3.274
0.961 -2.394 2.973
-0.563 0.190 2.414
-0.216 -2.488 0.145
7.201 -3.087 1.923
3.312 -0.092 3.340
2.547 -5.102 3.557
```

Values from the calculation:
Space group: Cmmm (65)
Magnetic moment, μB per formula unit: 0.0
E_form, eV per atom: -0.308

No. 18
First-principles (GGA-PBE) data for a geometry-optimized Dy7Al5Bi structure, as listed in the Alexandria database.

The structure in POSCAR format:
```
Dy7Al5Bi
1.0
6.137 0.000 0.000
3.068 7.382 0.071
3.068 0.047 7.383
Dy Al Bi
7 5 1
Cartesian
6.137 2.921 2.930
6.137 5.693 5.712
3.068 2.249 4.890
3.068 4.883 2.265
3.068 1.625 1.630
6.137 5.904 1.093
6.137 1.074 5.908
7.773 7.261 3.642
4.501 7.261 3.642
7.773 3.619 7.273
4.501 3.619 7.273
9.205 5.356 5.374
6.137 0.542 0.544
```

Values from the calculation:
Space group: Imm2 (44)
Magnetic moment, μB per formula unit: 0.0
E_form, eV per atom: -0.265

No. 19
First-principles (GGA-PBE) data for a geometry-optimized Er4AlBi structure, as listed in the Alexandria database.

The structure in POSCAR format:
```
Er4AlBi
1.0
-2.683 3.992 2.861
-3.827 0.979 -4.955
-5.243 -9.065 2.258
Er Al Bi
8 2 2
Cartesian
-7.503 -2.980 2.595
-4.802 -0.972 -3.147
-8.937 -5.410 -0.832
-3.370 1.459 0.278
-6.247 -0.359 0.117
-4.145 -4.082 1.809
-4.334 -0.849 2.594
-6.059 -3.593 -0.669
-5.549 1.663 -2.050
-6.757 -5.615 1.497
-9.111 -2.162 -0.054
-3.194 -1.790 -0.498
```

Values from the calculation:
Space group: Cmcm (63)
Relative energy among the computed polymorphs, meV/atom: 194
Magnetic moment, μB per formula unit: 0.5
E_form, eV per atom: -0.178